ThNiC after structural relaxation, computed with PBE-GGA.

Output
* SG: Imm2, No. 44
* ΔH_f (0 K): -0.131 eV/atom

a = 3.662 Å, b = 4.108 Å, c = 4.108 Å
α = 75.58°, β = 63.53°, γ = 63.53°
Sites, in units of the cell vectors:
Th 0.783 0.717 0.717
Ni 0.292 0.208 0.208
C 0.925 0.075 0.075

---

ThNi3C after structural relaxation, computed with PBE-GGA.

Output
* SG: R3m, No. 160
* ΔH_f (0 K): 0.353 eV/atom

a = 4.617 Å, b = 4.617 Å, c = 5.535 Å
α = 65.35°, β = 65.35°, γ = 60.00°
Sites, in units of the cell vectors:
Th 0.824 0.824 0.528
Ni 0.330 0.820 0.030
Ni 0.820 0.330 0.030
Ni 0.820 0.820 0.030
C 0.081 0.081 0.756

---

ThNi4C after structural relaxation, computed with PBE-GGA.

Output
* SG: P4/mmm, No. 123
* ΔH_f (0 K): -0.208 eV/atom

a = 3.767 Å, b = 3.767 Å, c = 6.046 Å
α = 90.00°, β = 90.00°, γ = 90.00°
Sites, in units of the cell vectors:
Th 0.500 0.000 0.000
Ni 0.000 0.500 0.196
Ni 0.000 0.500 0.804
Ni 0.000 0.000 0.500
Ni 0.500 0.500 0.500
C 0.000 0.500 0.500

---

Th4Ni13C4 after structural relaxation, computed with PBE-GGA.

Output
* SG: Cmmm, No. 65
* ΔH_f (0 K): -0.339 eV/atom

a = 3.948 Å, b = 8.527 Å, c = 8.527 Å
α = 91.21°, β = 90.00°, γ = 90.00°
Sites, in units of the cell vectors:
Th 0.000 0.314 0.686
Th 0.000 0.686 0.314
Th 0.000 0.156 0.156
Th 0.000 0.844 0.844
Ni 0.500 0.500 0.500
Ni 0.500 0.933 0.285
Ni 0.500 0.067 0.715
Ni 0.500 0.715 0.067
Ni 0.500 0.285 0.933
Ni 0.000 0.000 0.500
Ni 0.000 0.500 0.000
Ni 0.500 0.208 0.428
Ni 0.500 0.792 0.572
Ni 0.500 0.572 0.792
Ni 0.500 0.428 0.208
Ni 0.000 0.379 0.379
Ni 0.000 0.621 0.621
C 0.500 0.000 0.500
C 0.500 0.500 0.000
C 0.500 0.943 0.057
C 0.500 0.057 0.943

---

Th4NiC2 after structural relaxation, computed with PBE-GGA.

Output
* SG: Cmcm, No. 63
* ΔH_f (0 K): -0.294 eV/atom

a = 3.752 Å, b = 6.443 Å, c = 13.152 Å
α = 90.00°, β = 90.00°, γ = 106.93°
Sites, in units of the cell vectors:
Ni 0.605 0.210 0.750
Ni 0.395 0.790 0.250
C 0.139 0.278 0.437
C 0.861 0.722 0.937
C 0.139 0.278 0.063
C 0.861 0.722 0.563
Th 0.776 0.552 0.112
Th 0.776 0.552 0.388
Th 0.224 0.448 0.888
Th 0.224 0.448 0.612
Th 0.938 0.875 0.750
Th 0.062 0.125 0.250
Th 0.500 0.000 0.000
Th 0.500 0.000 0.500

---

Th2NiC after structural relaxation, computed with PBE-GGA.

Output
* SG: R-3m, No. 166
* ΔH_f (0 K): 0.188 eV/atom

a = 3.517 Å, b = 3.517 Å, c = 8.459 Å
α = 78.00°, β = 78.00°, γ = 60.00°
Sites, in units of the cell vectors:
Ni 0.000 0.000 0.000
C 0.500 0.500 0.500
Th 0.105 0.105 0.686
Th 0.895 0.895 0.314

---

Th2NiC after structural relaxation, computed with PBE-GGA.

Output
* SG: Cmcm, No. 63
* ΔH_f (0 K): -0.384 eV/atom

a = 3.852 Å, b = 3.813 Å, c = 11.167 Å
α = 99.83°, β = 90.00°, γ = 90.00°
Sites, in units of the cell vectors:
Th 0.750 0.693 0.385
Th 0.250 0.307 0.615
Th 0.750 0.923 0.846
Th 0.250 0.077 0.154
Ni 0.250 0.462 0.924
Ni 0.750 0.538 0.076
C 0.250 0.192 0.384
C 0.750 0.808 0.616

---

TiNiC3 after structural relaxation, computed with PBE-GGA.

Output
* SG: Pm-3m, No. 221
* ΔH_f (0 K): 2.196 eV/atom

a = 3.975 Å, b = 3.975 Å, c = 3.975 Å
α = 90.00°, β = 90.00°, γ = 90.00°
Sites, in units of the cell vectors:
Ni 0.500 0.500 0.500
C 0.000 0.500 0.000
C 0.000 0.000 0.500
C 0.500 0.000 0.000
Ti 0.000 0.000 0.000

---

TiNiC2 after structural relaxation, computed with PBE-GGA.

Output
* SG: Fm-3m, No. 225
* ΔH_f (0 K): 0.783 eV/atom

a = 3.701 Å, b = 3.701 Å, c = 3.701 Å
α = 60.00°, β = 60.00°, γ = 60.00°
Sites, in units of the cell vectors:
Ni 0.500 0.500 0.500
C 0.250 0.250 0.250
C 0.750 0.750 0.750
Ti 0.000 0.000 0.000

---

TiNiC2 after structural relaxation, computed with PBE-GGA.

Output
* SG: I-42d, No. 122
* ΔH_f (0 K): 0.545 eV/atom

a = 4.365 Å, b = 4.365 Å, c = 5.737 Å
α = 67.64°, β = 67.64°, γ = 90.00°
Sites, in units of the cell vectors:
Ni 0.000 0.000 0.000
Ni 0.750 0.250 0.500
C 0.662 0.125 0.250
C 0.088 0.625 0.250
C 0.375 0.338 0.750
C 0.875 0.912 0.750
Ti 0.500 0.500 0.000
Ti 0.250 0.750 0.500

---

Ti2NiC after structural relaxation, computed with PBE-GGA.

Output
* SG: I-42d, No. 122
* ΔH_f (0 K): -0.015 eV/atom

a = 5.868 Å, b = 5.868 Å, c = 5.203 Å
α = 55.68°, β = 55.68°, γ = 90.00°
Sites, in units of the cell vectors:
Ni 0.000 0.000 0.000
Ni 0.750 0.250 0.500
C 0.500 0.500 0.000
C 0.250 0.750 0.500
Ti 0.575 0.125 0.250
Ti 0.175 0.625 0.250
Ti 0.375 0.425 0.750
Ti 0.875 0.825 0.750

---

Ti6NiC4 after structural relaxation, computed with PBE-GGA.

Output
* SG: Cmcm, No. 63
* ΔH_f (0 K): -0.727 eV/atom

a = 3.083 Å, b = 5.355 Å, c = 16.248 Å
α = 90.00°, β = 90.00°, γ = 106.73°
Sites, in units of the cell vectors:
Ti 0.500 0.000 0.000
Ti 0.500 0.000 0.500
Ti 0.039 0.078 0.348
Ti 0.961 0.922 0.652
Ti 0.961 0.922 0.848
Ti 0.039 0.078 0.152
Ti 0.775 0.549 0.422
Ti 0.225 0.451 0.578
Ti 0.225 0.451 0.922
Ti 0.775 0.549 0.078
Ti 0.339 0.678 0.250
Ti 0.661 0.322 0.750
Ni 0.660 0.321 0.250
Ni 0.340 0.679 0.750
C 0.862 0.723 0.540
C 0.408 0.817 0.123
C 0.138 0.277 0.460
C 0.592 0.183 0.877
C 0.862 0.723 0.960
C 0.138 0.277 0.040
C 0.592 0.183 0.623
C 0.408 0.817 0.377